DFT (PBE) results for an optimized crystal structure of Dy2ScPa2Co5. Values from VASP.

Quantum ESPRESSO input file:
```
&SYSTEM
  ibrav = 0, nat = 20, ntyp = 4
/
ATOMIC_SPECIES
Dy 162.50 Dy.upf
Sc 44.96 Sc.upf
Pa 231.04 Pa.upf
Co 58.93 Co.upf
CELL_PARAMETERS angstrom
10.341 0.000 0.000
0.000 10.341 0.000
0.000 0.000 3.395
ATOMIC_POSITIONS angstrom
Dy 1.749 3.422 0.000
Dy 3.422 8.592 0.000
Dy 6.919 1.749 0.000
Dy 8.592 6.919 0.000
Sc 0.000 0.000 0.000
Sc 5.170 5.170 0.000
Pa 1.443 6.614 0.000
Pa 3.727 1.443 0.000
Pa 6.614 8.898 0.000
Pa 8.898 3.727 0.000
Co 0.000 5.170 1.698
Co 0.479 8.189 1.698
Co 2.152 0.479 1.698
Co 3.019 5.649 1.698
Co 4.692 3.019 1.698
Co 5.170 0.000 1.698
Co 5.649 7.322 1.698
Co 7.322 4.692 1.698
Co 8.189 9.862 1.698
Co 9.862 2.152 1.698
```

The crystal system is tetragonal. The value obtained for the total magnetization is 0.00 μB per cell. The calculation puts the formation energy at -131 meV/atom.

=====

DFT (PBE) results for an optimized crystal structure of EuDyErIn. Values from VASP.

Quantum ESPRESSO input file:
```
&SYSTEM
  ibrav = 0, nat = 4, ntyp = 4
/
ATOMIC_SPECIES
Eu 151.96 Eu.upf
Dy 162.50 Dy.upf
Er 167.26 Er.upf
In 114.82 In.upf
CELL_PARAMETERS angstrom
0.000 3.881 3.881
3.881 0.000 3.881
3.881 3.881 0.000
ATOMIC_POSITIONS angstrom
Eu 0.000 0.000 0.000
Dy 1.941 1.941 1.941
Er 5.822 5.822 5.822
In 3.881 3.881 3.881
```

The crystal system is cubic. The value obtained for the total magnetization is 7.46 μB per cell. The calculation puts the formation energy at -107 meV/atom.

=====

DFT (PBE) results for an optimized crystal structure of Pr3YHg. Values from VASP.

Quantum ESPRESSO input file:
```
&SYSTEM
  ibrav = 0, nat = 10, ntyp = 3
/
ATOMIC_SPECIES
Pr 140.91 Pr.upf
Y 88.91 Y.upf
Hg 200.59 Hg.upf
CELL_PARAMETERS angstrom
5.815 -3.856 0.000
5.815 3.856 0.000
-3.037 0.000 7.580
ATOMIC_POSITIONS angstrom
Pr -0.120 0.000 1.773
Pr 2.839 1.898 2.670
Pr 5.755 1.898 4.910
Pr 2.839 -1.898 2.670
Pr 5.755 -1.898 4.910
Pr 8.714 0.000 5.807
Y 2.819 0.000 5.749
Y 5.775 0.000 1.832
Hg 0.061 0.000 7.569
Hg 8.533 0.000 0.011
```

The energy above the lowest structure with this stoichiometry is 90 meV/atom. The crystal system is monoclinic. The value obtained for the total magnetization is 0.00 μB per cell. The calculation puts the formation energy at -88 meV/atom.

=====

DFT (PBE) results for an optimized crystal structure of Sr4ZnCr. Values from VASP.

Quantum ESPRESSO input file:
```
&SYSTEM
  ibrav = 0, nat = 6, ntyp = 3
/
ATOMIC_SPECIES
Sr 87.62 Sr.upf
Zn 65.41 Zn.upf
Cr 52.00 Cr.upf
CELL_PARAMETERS angstrom
0.000 5.116 5.116
5.116 0.000 5.116
5.116 5.116 0.000
ATOMIC_POSITIONS angstrom
Sr 1.281 1.281 1.281
Sr 3.835 3.835 1.281
Sr 3.835 1.281 3.835
Sr 1.281 3.835 3.835
Zn 7.674 7.674 7.674
Cr 5.116 5.116 5.116
```

The crystal system is cubic. The value obtained for the total magnetization is 4.64 μB per cell. The calculation puts the formation energy at 826 meV/atom.

=====

DFT (PBE) results for an optimized crystal structure of InSiRuO. Values from VASP.

Quantum ESPRESSO input file:
```
&SYSTEM
  ibrav = 0, nat = 4, ntyp = 4
/
ATOMIC_SPECIES
In 114.82 In.upf
Si 28.09 Si.upf
Ru 101.07 Ru.upf
O 16.00 O.upf
CELL_PARAMETERS angstrom
5.408 -1.523 0.000
5.408 1.523 0.000
-0.657 0.000 4.544
ATOMIC_POSITIONS angstrom
In 0.000 0.000 0.000
Si 1.698 0.000 2.552
Ru 5.438 0.000 2.316
O 3.238 0.000 2.974
```

The energy above the lowest structure with this stoichiometry is 299 meV/atom. The crystal system is monoclinic. As for the raw formation energy: -0.689 eV per atom. The value obtained for the total magnetization is 0.00 μB per cell.

=====

DFT (PBE) results for an optimized crystal structure of TbZrCoPt. Values from VASP.

Quantum ESPRESSO input file:
```
&SYSTEM
  ibrav = 0, nat = 4, ntyp = 4
/
ATOMIC_SPECIES
Tb 158.93 Tb.upf
Zr 91.22 Zr.upf
Co 58.93 Co.upf
Pt 195.08 Pt.upf
CELL_PARAMETERS angstrom
0.000 3.365 3.365
3.365 0.000 3.365
3.365 3.365 0.000
ATOMIC_POSITIONS angstrom
Tb 0.000 0.000 0.000
Zr 3.365 3.365 3.365
Co 5.047 5.047 5.047
Pt 1.682 1.682 1.682
```

The crystal system is cubic. The value obtained for the total magnetization is 0.70 μB per cell. The calculation puts the formation energy at -559 meV/atom.

=====

DFT (PBE) results for an optimized crystal structure of SrZr2Cr. Values from VASP.

Quantum ESPRESSO input file:
```
&SYSTEM
  ibrav = 0, nat = 4, ntyp = 3
/
ATOMIC_SPECIES
Sr 87.62 Sr.upf
Zr 91.22 Zr.upf
Cr 52.00 Cr.upf
CELL_PARAMETERS angstrom
3.581 0.000 0.000
0.000 5.132 0.000
0.000 0.000 5.468
ATOMIC_POSITIONS angstrom
Sr 0.000 0.000 0.000
Zr 0.000 2.566 2.734
Zr 1.790 0.000 2.734
Cr 1.790 2.566 0.000
```

The energy above the lowest structure with this stoichiometry is 368 meV/atom. The crystal system is orthorhombic. The value obtained for the total magnetization is 2.48 μB per cell. The calculation puts the formation energy at 706 meV/atom.

=====

DFT (PBE) results for an optimized crystal structure of CdInOs2. Values from VASP.

Quantum ESPRESSO input file:
```
&SYSTEM
  ibrav = 0, nat = 4, ntyp = 3
/
ATOMIC_SPECIES
Cd 112.41 Cd.upf
In 114.82 In.upf
Os 190.23 Os.upf
CELL_PARAMETERS angstrom
2.964 0.000 0.000
0.000 4.728 0.000
0.000 0.000 4.897
ATOMIC_POSITIONS angstrom
Cd 0.000 0.000 0.000
In 1.482 0.000 2.449
Os 0.000 2.364 2.449
Os 1.482 2.364 0.000
```

The crystal system is orthorhombic. The value obtained for the total magnetization is 0.00 μB per cell. The calculation puts the formation energy at 744 meV/atom.

=====

Number 1: DOS at the Fermi energy 14.8 states/eV per cell. Number 2: DOS at the Fermi energy 5.0 states/eV per cell. Number 3: DOS at the Fermi energy 10.9 states/eV per cell. Number 4: DOS at the Fermi energy 7.4 states/eV per cell. Number 5: DOS at the Fermi energy 0.6 states/eV per cell. Number 6: DOS at the Fermi energy 3.5 states/eV per cell. Number 7: DOS at the Fermi energy 5.0 states/eV per cell. Number 8: DOS at the Fermi energy 4.4 states/eV per cell.